[1]
A relaxed structure of UFe2H8, computed with PBE.

Output
volume = 68.7 Å³/f.u.
energy = -111.5 eV/cell
calculated density = 8.65 g/cm3

Cell lengths 4.189, 7.574, 4.332 Å; angles 90.00, 90.00, 90.00 degrees
Space group Amm2 (No. 38)
Symmetry-distinct sites (fractional):
1 U 0.000 0.000 0.000 (multiplicity 2)
2 Fe 0.500 0.169 0.462 (multiplicity 4)
3 H 0.220 0.233 0.750 (multiplicity 8)
4 H 0.236 0.000 0.505 (multiplicity 4)
5 H 0.500 0.118 0.083 (multiplicity 4)

[2]
A relaxed structure of UFeH, computed with PBE.

Output
volume = 37.8 Å³/f.u.
calculated density = 12.95 g/cm3
energy above the lowest structure with this stoichiometry = 0.000 eV per atom

Cell lengths 3.703, 4.379, 4.991 Å; angles 78.86, 86.44, 72.21 degrees
Space group P-1 (No. 2)
Symmetry-distinct sites (fractional):
1 U 0.015 0.236 0.289 (multiplicity 2)
2 Fe 0.441 0.327 0.828 (multiplicity 2)
3 H 0.373 0.069 0.657 (multiplicity 2)

[3]
A relaxed structure of UFe3H, computed with PBE.

Output
volume = 53.8 Å³/f.u.
energy = -40.5 eV/cell
calculated density = 12.56 g/cm3

Cell lengths 3.774, 3.774, 3.774 Å; angles 90.00, 90.00, 90.00 degrees
Space group Pm-3m (No. 221)
Symmetry-distinct sites (fractional):
1 U 0.000 0.000 0.000 (multiplicity 1)
2 Fe 0.000 0.500 0.500 (multiplicity 3)
3 H 0.500 0.500 0.500 (multiplicity 1)

[4]
A relaxed structure of UFe5H7, computed with PBE.

Output
volume = 98.2 Å³/f.u.
energy = -76.9 eV/cell
calculated density = 8.87 g/cm3

Cell lengths 4.504, 4.964, 4.989 Å; angles 101.83, 96.43, 112.98 degrees
Space group P1 (No. 1)
Symmetry-distinct sites (fractional):
1 U 0.000 0.000 0.000 (multiplicity 1)
2 Fe 0.026 0.886 0.440 (multiplicity 1)
3 Fe 0.231 0.468 0.658 (multiplicity 1)
4 Fe 0.403 0.653 0.222 (multiplicity 1)
5 Fe 0.624 0.295 0.430 (multiplicity 1)
6 Fe 0.780 0.455 0.976 (multiplicity 1)
7 H 0.012 0.494 0.329 (multiplicity 1)
8 H 0.397 0.776 0.925 (multiplicity 1)
9 H 0.410 0.239 0.722 (multiplicity 1)
10 H 0.422 0.939 0.472 (multiplicity 1)
11 H 0.565 0.152 0.093 (multiplicity 1)
12 H 0.621 0.655 0.529 (multiplicity 1)
13 H 0.856 0.242 0.694 (multiplicity 1)